[1]
! ScMo2Pb (PBE, relaxed); values from VASP
&SYSTEM
  ibrav = 0, nat = 4, ntyp = 3
/
ATOMIC_SPECIES
Sc 44.96 Sc.upf
Mo 95.94 Mo.upf
Pb 207.20 Pb.upf
CELL_PARAMETERS angstrom
-2.818 -1.998 -2.412
2.329 -1.325 -1.624
1.753 -5.542 2.542
ATOMIC_POSITIONS crystal
Sc 0.500 0.791 0.777
Mo 0.000 0.036 0.014
Mo 0.500 0.187 0.213
Pb 0.000 0.487 0.496
! Energy of formation: 0.2359 eV per atom
! Symmetry: Pm


[2]
! AcZnNiGe2 (PBE, relaxed); values from VASP
&SYSTEM
  ibrav = 0, nat = 5, ntyp = 4
/
ATOMIC_SPECIES
Zn 65.41 Zn.upf
Ni 58.69 Ni.upf
Ge 72.64 Ge.upf
Ac 227.00 Ac.upf
CELL_PARAMETERS angstrom
4.326 0.000 0.000
0.000 4.326 0.000
-2.163 -2.163 5.246
ATOMIC_POSITIONS crystal
Zn 0.750 0.250 0.500
Ni 0.250 0.750 0.500
Ge 0.628 0.628 0.256
Ge 0.372 0.372 0.744
Ac 0.000 0.000 0.000
! Energy of formation: -0.5404 eV per atom
! Symmetry: I-4m2


[3]
! Sr3TaPt (PBE, relaxed); values from VASP
&SYSTEM
  ibrav = 0, nat = 5, ntyp = 3
/
ATOMIC_SPECIES
Ta 180.95 Ta.upf
Sr 87.62 Sr.upf
Pt 195.08 Pt.upf
CELL_PARAMETERS angstrom
5.787 0.000 0.000
0.000 5.787 0.000
0.000 0.000 5.787
ATOMIC_POSITIONS crystal
Ta 0.500 0.500 0.500
Sr 0.000 0.000 0.500
Sr 0.000 0.500 0.000
Sr 0.500 0.000 0.000
Pt 0.000 0.000 0.000
! Energy of formation: 0.5430 eV per atom
! Symmetry: Pm-3m


[4]
! Be4CdP (PBE, relaxed); values from VASP
&SYSTEM
  ibrav = 0, nat = 6, ntyp = 3
/
ATOMIC_SPECIES
Be 9.01 Be.upf
P 30.97 P.upf
Cd 112.41 Cd.upf
CELL_PARAMETERS angstrom
-0.425 -4.615 -0.037
-2.163 -2.156 3.486
-4.152 -1.940 -0.695
ATOMIC_POSITIONS crystal
Be 0.375 0.375 0.876
Be 0.876 0.375 0.375
Be 0.375 0.876 0.375
Be 0.375 0.375 0.375
P 0.000 0.000 0.000
Cd 0.750 0.750 0.750
! Energy of formation: 0.4422 eV per atom
! Symmetry: F-43m


[5]
! CaGa2CuNi (PBE, relaxed); values from VASP
&SYSTEM
  ibrav = 0, nat = 5, ntyp = 4
/
ATOMIC_SPECIES
Ga 69.72 Ga.upf
Cu 63.55 Cu.upf
Ni 58.69 Ni.upf
Ca 40.08 Ca.upf
CELL_PARAMETERS angstrom
4.229 0.000 0.000
0.000 4.229 0.000
-2.115 -2.115 4.958
ATOMIC_POSITIONS crystal
Ga 0.632 0.632 0.264
Ga 0.368 0.368 0.736
Cu 0.750 0.250 0.500
Ni 0.250 0.750 0.500
Ca 0.000 0.000 0.000
! Energy of formation: -0.3555 eV per atom
! Symmetry: I-4m2


[6]
! Zr2GaFe3 (PBE, relaxed); values from VASP
&SYSTEM
  ibrav = 0, nat = 12, ntyp = 3
/
ATOMIC_SPECIES
Fe 55.84 Fe.upf
Zr 91.22 Zr.upf
Ga 69.72 Ga.upf
CELL_PARAMETERS angstrom
2.511 -4.349 0.000
2.511 4.349 0.000
0.000 0.000 8.200
ATOMIC_POSITIONS crystal
Fe 0.655 0.827 0.750
Fe 0.173 0.827 0.750
Fe 0.827 0.173 0.250
Fe 0.173 0.345 0.750
Fe 0.345 0.173 0.250
Fe 0.827 0.655 0.250
Zr 0.667 0.333 0.935
Zr 0.333 0.667 0.065
Zr 0.667 0.333 0.565
Zr 0.333 0.667 0.435
Ga 0.000 0.000 0.000
Ga 0.000 0.000 0.500
! Energy of formation: -0.3824 eV per atom
! Symmetry: P6_3/mmc


[7]
! UCdRuRh (PBE, relaxed); values from VASP
&SYSTEM
  ibrav = 0, nat = 4, ntyp = 4
/
ATOMIC_SPECIES
Cd 112.41 Cd.upf
Ru 101.07 Ru.upf
U 238.03 U.upf
Rh 102.91 Rh.upf
CELL_PARAMETERS angstrom
-3.413 0.082 -3.206
-1.390 -3.978 -2.043
-4.202 -1.805 1.007
ATOMIC_POSITIONS crystal
Cd 0.500 0.500 0.500
Ru 0.750 0.750 0.750
U 0.000 0.000 0.000
Rh 0.250 0.250 0.250
! Energy of formation: -0.2013 eV per atom
! Symmetry: F-43m


[8]
! PSI3 (PBE, relaxed); values from VASP
&SYSTEM
  ibrav = 0, nat = 10, ntyp = 3
/
ATOMIC_SPECIES
S 32.06 S.upf
P 30.97 P.upf
I 126.90 I.upf
CELL_PARAMETERS angstrom
8.242 -1.025 1.673
-4.939 6.678 -1.673
-2.334 -2.427 7.775
ATOMIC_POSITIONS crystal
S 0.659 0.294 0.865
S 0.429 0.794 0.135
P 0.081 0.549 0.033
P 0.516 0.049 0.967
I 0.520 0.309 0.291
I 0.018 0.229 0.709
I 0.091 0.778 0.813
I 0.520 0.729 0.711
I 0.965 0.278 0.187
I 0.018 0.809 0.289
! VASP energy: -26.8 eV per cell
! Symmetry: Ima2


[9]
! KSrY4 (PBE, relaxed); values from VASP
&SYSTEM
  ibrav = 0, nat = 6, ntyp = 3
/
ATOMIC_SPECIES
Y 88.91 Y.upf
Sr 87.62 Sr.upf
K 39.10 K.upf
CELL_PARAMETERS angstrom
0.000 4.977 4.977
4.977 0.000 4.977
4.977 4.977 0.000
ATOMIC_POSITIONS crystal
Y 0.373 0.373 0.880
Y 0.373 0.373 0.373
Y 0.880 0.373 0.373
Y 0.373 0.880 0.373
Sr 0.000 0.000 0.000
K 0.750 0.750 0.750
! Energy of formation: 0.4012 eV per atom
! Symmetry: F-43m


[10]
! CaZnIn2 (PBE, relaxed); values from VASP
&SYSTEM
  ibrav = 0, nat = 4, ntyp = 3
/
ATOMIC_SPECIES
In 114.82 In.upf
Zn 65.41 Zn.upf
Ca 40.08 Ca.upf
CELL_PARAMETERS angstrom
5.954 0.017 0.013
2.539 5.386 -0.013
-3.996 -3.095 3.148
ATOMIC_POSITIONS crystal
In 0.521 0.521 0.000
In 0.979 0.979 0.000
Zn 0.750 0.250 0.500
Ca 0.250 0.750 0.500
! Energy of formation: -0.1895 eV per atom
! Symmetry: Immm


[11]
! BaSb2Te (PBE, relaxed); values from VASP
&SYSTEM
  ibrav = 0, nat = 4, ntyp = 3
/
ATOMIC_SPECIES
Sb 121.76 Sb.upf
Te 127.60 Te.upf
Ba 137.33 Ba.upf
CELL_PARAMETERS angstrom
-3.250 -1.030 -2.889
2.369 -3.517 -1.410
-3.106 -4.076 4.946
ATOMIC_POSITIONS crystal
Sb 0.500 0.500 0.184
Sb 0.000 0.000 0.076
Te 0.000 0.000 0.542
Ba 0.500 0.500 0.698
! VASP energy: -15.5 eV per cell
! Symmetry: P4mm


[12]
! ZrTa2Ni (PBE, relaxed); values from VASP
&SYSTEM
  ibrav = 0, nat = 4, ntyp = 3
/
ATOMIC_SPECIES
Ta 180.95 Ta.upf
Ni 58.69 Ni.upf
Zr 91.22 Zr.upf
CELL_PARAMETERS angstrom
-1.520 1.945 1.857
-2.861 -0.523 -1.793
-1.588 -5.070 4.013
ATOMIC_POSITIONS crystal
Ta 0.500 0.500 0.234
Ta 0.000 0.000 0.984
Ni 0.500 0.500 0.769
Zr 0.000 0.000 0.513
! Energy of formation: -0.0690 eV per atom
! Symmetry: Pmm2


Q: What is the formula in the tenth record?
A: CaZnIn2